# 1
Density functional theory data (PBE) for LaTm2S3 after structural relaxation. Values from VASP.

Geometry as Quantum ESPRESSO input:
```
&SYSTEM
  ibrav = 0, nat = 6, ntyp = 3
/
ATOMIC_SPECIES
S 32.06 S.upf
La 138.91 La.upf
Tm 168.93 Tm.upf
CELL_PARAMETERS angstrom
-1.010 3.723 0.603
-3.872 -0.393 -4.058
-1.599 -3.413 5.751
ATOMIC_POSITIONS crystal
S 0.500 0.000 0.500
La 0.500 0.500 0.500
S 0.818 0.318 0.136
S 0.182 0.682 0.864
Tm 0.839 0.839 0.179
Tm 0.161 0.161 0.821
```


# 2
Density functional theory data (PBE) for LaTm5S6 after structural relaxation. Values from VASP.

Geometry as Quantum ESPRESSO input:
```
&SYSTEM
  ibrav = 0, nat = 12, ntyp = 3
/
ATOMIC_SPECIES
Tm 168.93 Tm.upf
S 32.06 S.upf
La 138.91 La.upf
CELL_PARAMETERS angstrom
-4.568 -0.652 -4.914
-3.642 -5.593 1.001
-5.669 0.277 3.670
ATOMIC_POSITIONS crystal
Tm 0.500 0.500 0.000
Tm 0.500 0.161 0.679
S 0.260 0.914 0.651
Tm 0.000 0.334 0.332
Tm 0.000 0.666 0.668
S 0.740 0.086 0.349
S 0.255 0.263 0.000
S 0.740 0.435 0.651
S 0.745 0.737 0.000
Tm 0.500 0.839 0.321
S 0.260 0.565 0.349
La 0.000 0.000 0.000
```


# 3
! LaTmS2 | Alexandria | PBE | relaxed; values from VASP
&SYSTEM
  ibrav = 0, nat = 4, ntyp = 3
/
ATOMIC_SPECIES
S 32.06 S.upf
La 138.91 La.upf
Tm 168.93 Tm.upf
CELL_PARAMETERS angstrom
-1.018 1.937 3.244
0.614 -1.609 3.514
6.163 3.026 2.487
ATOMIC_POSITIONS crystal
S 0.259 0.259 0.222
S 0.074 0.074 0.778
La 0.495 0.495 0.516
Tm 0.672 0.672 0.984
! - Energy above the most stable polymorph in this dataset: 66.9 meV per atom


# 4
Density functional theory data (PBE) for La4Tm11S22 after structural relaxation. Values from VASP.

Geometry as Quantum ESPRESSO input:
```
&SYSTEM
  ibrav = 0, nat = 37, ntyp = 3
/
ATOMIC_SPECIES
Tm 168.93 Tm.upf
S 32.06 S.upf
La 138.91 La.upf
CELL_PARAMETERS angstrom
3.952 0.000 0.000
0.000 11.326 -0.012
-1.976 -0.496 19.529
ATOMIC_POSITIONS crystal
Tm 0.737 0.648 0.474
S 0.913 0.247 0.826
S 0.557 0.508 0.113
S 0.865 0.550 0.729
S 0.135 0.450 0.271
S 0.810 0.309 0.620
Tm 0.538 0.731 0.076
La 0.105 0.012 0.209
S 0.745 0.881 0.490
S 0.831 0.848 0.661
S 0.087 0.753 0.174
Tm 0.930 0.638 0.860
S 0.720 0.411 0.440
S 0.443 0.492 0.887
Tm 0.658 0.300 0.316
La 0.895 0.988 0.791
La 0.633 0.651 0.266
Tm 0.342 0.700 0.684
S 0.454 0.030 0.908
Tm 0.462 0.269 0.924
Tm 0.263 0.352 0.526
S 0.190 0.691 0.380
S 0.255 0.119 0.510
S 0.349 0.092 0.698
La 0.367 0.349 0.734
Tm 0.203 0.941 0.405
S 0.407 0.785 0.814
S 0.280 0.589 0.560
S 0.593 0.215 0.186
Tm 0.070 0.362 0.140
S 0.992 0.760 0.984
S 0.008 0.240 0.016
S 0.546 0.970 0.092
Tm 0.000 0.000 0.000
S 0.169 0.152 0.339
Tm 0.797 0.059 0.595
S 0.651 0.908 0.302
```


# 5
Density functional theory data (PBE) for La5Tm3S8 after structural relaxation. Values from VASP.

Geometry as Quantum ESPRESSO input:
```
&SYSTEM
  ibrav = 0, nat = 16, ntyp = 3
/
ATOMIC_SPECIES
Tm 168.93 Tm.upf
S 32.06 S.upf
La 138.91 La.upf
CELL_PARAMETERS angstrom
-5.963 3.827 3.787
-2.477 -2.554 7.203
1.637 4.436 6.617
ATOMIC_POSITIONS crystal
Tm 0.000 0.500 0.500
Tm 0.000 0.000 0.500
S 0.750 0.750 0.269
S 0.750 0.231 0.269
S 0.250 0.769 0.731
La 0.500 0.000 0.000
S 0.769 0.250 0.731
S 0.241 0.241 0.277
S 0.759 0.759 0.723
La 0.000 0.500 0.000
Tm 0.500 0.000 0.500
La 0.000 0.000 0.000
La 0.500 0.500 0.000
S 0.250 0.250 0.731
S 0.231 0.750 0.269
La 0.500 0.500 0.500
```


# 6
! LaTmS2 | Alexandria | PBE | relaxed; values from VASP
&SYSTEM
  ibrav = 0, nat = 4, ntyp = 3
/
ATOMIC_SPECIES
S 32.06 S.upf
Tm 168.93 Tm.upf
La 138.91 La.upf
CELL_PARAMETERS angstrom
7.100 -0.010 -0.006
6.014 3.775 -0.006
6.014 1.727 3.357
ATOMIC_POSITIONS crystal
S 0.759 0.759 0.759
Tm 0.500 0.500 0.500
S 0.241 0.241 0.241
La 0.000 0.000 0.000
! - Energy above the most stable polymorph in this dataset: 0.0 meV per atom


# 7
Density functional theory data (PBE) for La4TmS7 after structural relaxation. Values from VASP.

Geometry as Quantum ESPRESSO input:
```
&SYSTEM
  ibrav = 0, nat = 12, ntyp = 3
/
ATOMIC_SPECIES
S 32.06 S.upf
La 138.91 La.upf
Tm 168.93 Tm.upf
CELL_PARAMETERS angstrom
-2.671 0.584 2.921
-1.221 -6.431 -2.570
8.586 -1.507 8.153
ATOMIC_POSITIONS crystal
S 0.743 0.487 0.362
S 0.660 0.319 0.051
S 0.491 0.981 0.504
La 0.999 0.998 0.996
S 0.038 0.077 0.774
La 0.303 0.606 0.194
La 0.111 0.223 0.428
La 0.698 0.395 0.805
S 0.274 0.547 0.646
S 0.338 0.676 0.948
Tm 0.887 0.774 0.577
S 0.959 0.917 0.215
```


# 8
! LaTmS3 | Alexandria | PBE | relaxed; values from VASP
&SYSTEM
  ibrav = 0, nat = 40, ntyp = 3
/
ATOMIC_SPECIES
La 138.91 La.upf
Tm 168.93 Tm.upf
S 32.06 S.upf
CELL_PARAMETERS angstrom
4.001 0.000 0.000
0.000 11.062 -0.011
0.000 4.280 21.189
ATOMIC_POSITIONS crystal
La 0.250 0.301 0.766
Tm 0.750 0.028 0.650
S 0.250 0.086 0.035
S 0.250 0.507 0.219
Tm 0.750 0.522 0.913
Tm 0.750 0.181 0.953
La 0.250 0.908 0.865
S 0.250 0.964 0.730
S 0.750 0.657 0.098
S 0.250 0.205 0.365
Tm 0.250 0.478 0.087
S 0.750 0.747 0.828
La 0.750 0.092 0.135
S 0.250 0.357 0.514
S 0.750 0.914 0.965
Tm 0.250 0.819 0.047
La 0.750 0.200 0.464
S 0.750 0.493 0.781
S 0.250 0.746 0.325
S 0.250 0.635 0.965
La 0.250 0.800 0.536
La 0.250 0.690 0.734
La 0.750 0.310 0.266
S 0.250 0.343 0.902
Tm 0.750 0.447 0.583
S 0.750 0.942 0.443
S 0.750 0.365 0.035
S 0.750 0.254 0.675
S 0.750 0.125 0.838
Tm 0.250 0.972 0.350
Tm 0.250 0.553 0.417
S 0.250 0.875 0.162
S 0.750 0.036 0.270
La 0.750 0.699 0.234
S 0.750 0.455 0.366
S 0.250 0.058 0.557
S 0.750 0.795 0.635
S 0.750 0.643 0.486
S 0.250 0.545 0.634
S 0.250 0.253 0.172
! - Energy above the most stable polymorph in this dataset: 4.9 meV per atom


# 9
Density functional theory data (PBE) for La3TmS after structural relaxation. Values from VASP.

Geometry as Quantum ESPRESSO input:
```
&SYSTEM
  ibrav = 0, nat = 5, ntyp = 3
/
ATOMIC_SPECIES
La 138.91 La.upf
Tm 168.93 Tm.upf
S 32.06 S.upf
CELL_PARAMETERS angstrom
-3.841 0.357 -4.038
3.985 -0.689 -3.852
-0.744 -5.530 0.219
ATOMIC_POSITIONS crystal
La 0.000 0.000 0.500
Tm 0.500 0.500 0.500
La 0.500 0.000 0.000
La 0.000 0.500 0.000
S 0.000 0.000 0.000
```


# 10
! LaTmS3 | Alexandria | PBE | relaxed; values from VASP
&SYSTEM
  ibrav = 0, nat = 60, ntyp = 3
/
ATOMIC_SPECIES
S 32.06 S.upf
Tm 168.93 Tm.upf
La 138.91 La.upf
CELL_PARAMETERS angstrom
3.999 0.000 0.000
0.000 16.470 0.000
0.000 0.000 21.455
ATOMIC_POSITIONS crystal
S 0.750 0.036 0.682
Tm 0.750 0.934 0.579
Tm 0.750 0.057 0.069
S 0.750 0.176 0.815
S 0.750 0.291 0.983
La 0.750 0.342 0.746
S 0.250 0.354 0.852
Tm 0.250 0.566 0.079
S 0.250 0.464 0.182
S 0.250 0.964 0.318
S 0.750 0.457 0.052
Tm 0.250 0.066 0.421
La 0.750 0.842 0.754
S 0.750 0.341 0.562
S 0.750 0.146 0.352
S 0.250 0.449 0.693
Tm 0.250 0.595 0.750
S 0.750 0.059 0.942
Tm 0.750 0.905 0.250
La 0.250 0.194 0.921
S 0.250 0.949 0.807
La 0.250 0.330 0.087
Tm 0.250 0.943 0.931
La 0.750 0.670 0.913
Tm 0.750 0.557 0.431
S 0.250 0.324 0.315
S 0.750 0.536 0.818
S 0.750 0.559 0.558
La 0.750 0.306 0.421
S 0.750 0.551 0.307
S 0.750 0.269 0.179
La 0.250 0.658 0.254
Tm 0.750 0.434 0.921
S 0.750 0.841 0.938
La 0.250 0.830 0.413
S 0.250 0.043 0.552
La 0.250 0.694 0.579
La 0.750 0.806 0.079
S 0.750 0.957 0.448
Tm 0.250 0.443 0.569
S 0.250 0.441 0.442
S 0.250 0.854 0.648
S 0.750 0.769 0.321
S 0.250 0.659 0.438
S 0.250 0.159 0.062
S 0.250 0.209 0.483
Tm 0.250 0.095 0.750
S 0.750 0.646 0.148
La 0.250 0.158 0.246
S 0.250 0.824 0.185
S 0.250 0.731 0.821
S 0.250 0.941 0.058
S 0.250 0.231 0.679
Tm 0.750 0.405 0.250
S 0.750 0.791 0.517
S 0.250 0.709 0.017
S 0.750 0.051 0.193
S 0.750 0.676 0.685
S 0.250 0.543 0.948
La 0.750 0.170 0.587
! - Energy above the most stable polymorph in this dataset: 0.0 meV per atom


# 11
! La3TmS4 | Alexandria | PBE | relaxed; values from VASP
&SYSTEM
  ibrav = 0, nat = 16, ntyp = 3
/
ATOMIC_SPECIES
S 32.06 S.upf
Tm 168.93 Tm.upf
La 138.91 La.upf
CELL_PARAMETERS angstrom
-4.311 0.333 -5.573
-2.787 -4.358 4.887
-3.886 6.276 3.380
ATOMIC_POSITIONS crystal
S 0.500 0.231 0.885
S 0.989 0.240 0.635
Tm 0.250 0.000 0.126
La 0.250 0.500 0.377
La 0.750 0.000 0.375
La 0.750 0.500 0.126
La 0.250 0.000 0.625
La 0.250 0.500 0.874
S 0.000 0.769 0.885
S 0.500 0.769 0.115
S 0.011 0.760 0.365
S 0.511 0.760 0.635
S 0.000 0.231 0.115
La 0.750 0.500 0.623
S 0.489 0.240 0.365
Tm 0.750 0.000 0.874
! - Energy above the most stable polymorph in this dataset: 0.0 meV per atom


# 12
Density functional theory data (PBE) for La4TmS5 after structural relaxation. Values from VASP.

Geometry as Quantum ESPRESSO input:
```
&SYSTEM
  ibrav = 0, nat = 10, ntyp = 3
/
ATOMIC_SPECIES
Tm 168.93 Tm.upf
La 138.91 La.upf
S 32.06 S.upf
CELL_PARAMETERS angstrom
-0.797 2.954 4.938
-6.701 0.024 2.321
0.762 -3.901 5.873
ATOMIC_POSITIONS crystal
Tm 0.001 0.000 0.000
La 0.597 0.601 0.206
S 0.903 0.383 0.813
S 0.099 0.617 0.187
S 0.501 0.000 0.000
S 0.716 0.187 0.383
La 0.803 0.794 0.601
La 0.405 0.399 0.794
La 0.199 0.206 0.399
S 0.286 0.813 0.617
```


# 13
! La3TmS4 | Alexandria | PBE | relaxed; values from VASP
&SYSTEM
  ibrav = 0, nat = 8, ntyp = 3
/
ATOMIC_SPECIES
S 32.06 S.upf
Tm 168.93 Tm.upf
La 138.91 La.upf
CELL_PARAMETERS angstrom
-3.184 0.671 2.398
2.270 -5.055 4.429
2.790 6.218 1.967
ATOMIC_POSITIONS crystal
S 0.500 0.760 0.240
Tm 0.500 0.000 0.000
La 0.000 0.000 0.500
S 0.000 0.231 0.231
S 0.000 0.769 0.769
S 0.500 0.240 0.760
La 0.000 0.500 0.000
La 0.500 0.500 0.500
! - Energy above the most stable polymorph in this dataset: 4.0 meV per atom


# 14
Density functional theory data (PBE) for La2YTmS5 after structural relaxation. Values from VASP.

Geometry as Quantum ESPRESSO input:
```
&SYSTEM
  ibrav = 0, nat = 18, ntyp = 4
/
ATOMIC_SPECIES
Tm 168.93 Tm.upf
S 32.06 S.upf
La 138.91 La.upf
Y 88.91 Y.upf
CELL_PARAMETERS angstrom
-1.245 -3.765 -0.527
5.817 1.073 -6.225
9.468 -4.266 8.112
ATOMIC_POSITIONS crystal
Tm 0.774 0.547 0.529
S 0.738 0.476 0.174
S 0.382 0.764 0.985
La 0.912 0.824 0.149
S 0.701 0.402 0.893
Tm 0.226 0.453 0.029
S 0.927 0.854 0.577
La 0.862 0.725 0.805
S 0.262 0.524 0.674
S 0.073 0.146 0.077
S 0.494 0.988 0.762
S 0.618 0.236 0.485
S 0.506 0.012 0.262
La 0.088 0.176 0.649
S 0.299 0.598 0.393
Y 0.454 0.908 0.450
La 0.138 0.275 0.305
Y 0.546 0.092 0.950
```


# 15
Density functional theory data (PBE) for LaY2TmS4 after structural relaxation. Values from VASP.

Geometry as Quantum ESPRESSO input:
```
&SYSTEM
  ibrav = 0, nat = 8, ntyp = 4
/
ATOMIC_SPECIES
S 32.06 S.upf
La 138.91 La.upf
Y 88.91 Y.upf
Tm 168.93 Tm.upf
CELL_PARAMETERS angstrom
3.920 0.000 0.000
0.000 6.842 -0.149
0.000 2.397 6.508
ATOMIC_POSITIONS crystal
S 0.500 0.250 0.738
S 0.500 0.750 0.262
La 0.500 0.500 0.000
Y 0.000 0.000 0.000
S 0.000 0.760 0.734
S 0.000 0.240 0.266
Tm 0.000 0.500 0.500
Y 0.500 0.000 0.500
```


# 16
Density functional theory data (PBE) for La4Y3TmS8 after structural relaxation. Values from VASP.

Geometry as Quantum ESPRESSO input:
```
&SYSTEM
  ibrav = 0, nat = 16, ntyp = 4
/
ATOMIC_SPECIES
S 32.06 S.upf
La 138.91 La.upf
Y 88.91 Y.upf
Tm 168.93 Tm.upf
CELL_PARAMETERS angstrom
-6.706 -4.110 -1.399
-0.642 -1.651 7.926
0.602 7.597 -2.394
ATOMIC_POSITIONS crystal
S 0.759 0.272 0.519
La 0.500 0.000 0.500
S 0.257 0.270 0.513
S 0.241 0.728 0.481
La 0.000 0.000 0.500
Y 0.500 0.500 0.000
La 0.500 0.000 0.000
Tm 0.000 0.500 0.000
Y 0.000 0.500 0.500
La 0.000 0.000 0.000
S 0.746 0.728 0.987
S 0.743 0.730 0.487
Y 0.500 0.500 0.500
S 0.759 0.272 0.013
S 0.241 0.728 0.987
S 0.254 0.272 0.013
```


# 17
Density functional theory data (PBE) for La3YTm2S6 after structural relaxation. Values from VASP.

Geometry as Quantum ESPRESSO input:
```
&SYSTEM
  ibrav = 0, nat = 12, ntyp = 4
/
ATOMIC_SPECIES
S 32.06 S.upf
Tm 168.93 Tm.upf
La 138.91 La.upf
Y 88.91 Y.upf
CELL_PARAMETERS angstrom
6.871 -0.008 -0.002
-3.440 5.947 -0.002
-1.146 -1.985 6.702
ATOMIC_POSITIONS crystal
S 0.075 0.413 0.226
S 0.737 0.737 0.225
S 0.587 0.925 0.774
Tm 0.333 0.667 0.000
S 0.413 0.075 0.226
La 0.835 0.165 0.500
Tm 0.667 0.333 0.000
La 0.165 0.835 0.500
Y 0.000 0.000 0.000
La 0.500 0.500 0.500
S 0.925 0.587 0.774
S 0.263 0.263 0.775
```


Number 1: DFT total energy -6.360 eV/atom. Number 2: DFT total energy -6.297 eV/atom. Number 3: DFT total energy -6.415 eV/atom. Number 4: DFT total energy -6.451 eV/atom. Number 5: DFT total energy -6.514 eV/atom. Number 6: DFT total energy -6.482 eV/atom. Number 7: DFT total energy -6.583 eV/atom. Number 8: DFT total energy -6.506 eV/atom. Number 9: DFT total energy -5.381 eV/atom. Number 10: DFT total energy -6.511 eV/atom. Number 11: DFT total energy -6.571 eV/atom. Number 12: DFT total energy -6.586 eV/atom. Number 13: DFT total energy -6.567 eV/atom. Number 14: DFT total energy -6.626 eV/atom. Number 15: DFT total energy -6.861 eV/atom. Number 16: DFT total energy -6.866 eV/atom. Number 17: DFT total energy -6.652 eV/atom.